Record 1
Computed, not measured: a geometry-optimized SrReRh structure at the PBE level of DFT.

DFT formation energy: 12.37 kJ per mole of atoms
Theoretical density: 8.52 Mg/m³
Space-group type: No. 11

Cell lengths 4.286, 4.108, 8.368 Å; angles 90.00, 94.47, 90.00 degrees
Atoms (fractional coordinates):
1 Sr 0.230 0.250 0.334
2 Sr 0.770 0.750 0.666
3 Re 0.173 0.750 0.014
4 Re 0.827 0.250 0.986
5 Rh 0.319 0.250 0.826
6 Rh 0.681 0.750 0.174


Record 2
Computed, not measured: a geometry-optimized SrReRh structure at the PBE level of DFT.

DFT formation energy: 10.33 kJ per mole of atoms
Theoretical density: 7.74 Mg/m³
Space-group type: No. 2

Cell lengths 4.287, 4.287, 10.454 Å; angles 90.01, 101.78, 119.99 degrees
Atoms (fractional coordinates):
1 Sr 0.039 0.269 0.309
2 Sr 0.961 0.731 0.691
3 Re 0.171 0.836 0.007
4 Re 0.829 0.164 0.993
5 Rh 0.412 0.456 0.867
6 Rh 0.588 0.544 0.133


Record 3
Computed, not measured: a geometry-optimized SrReRh structure at the PBE level of DFT.

DFT formation energy: 104.07 kJ per mole of atoms
Theoretical density: 9.16 Mg/m³
Space-group type: No. 216

Cell lengths 4.588, 4.588, 4.588 Å; angles 60.00, 60.00, 60.00 degrees
Atoms (fractional coordinates):
1 Sr 0.000 0.000 0.000
2 Re 0.500 0.500 0.500
3 Rh 0.250 0.250 0.250


Record 4
Computed, not measured: a geometry-optimized SrRe2Rh structure at the PBE level of DFT.

DFT formation energy: 71.37 kJ per mole of atoms
Theoretical density: 11.91 Mg/m³
Space-group type: No. 44

Cell lengths 5.630, 5.630, 5.630 Å; angles 147.25, 124.61, 65.85 degrees
Atoms (fractional coordinates):
1 Sr 0.000 0.000 0.000
2 Re 0.299 0.799 0.500
3 Re 0.492 0.492 0.000
4 Rh 0.716 0.216 0.500


Record 5
Computed, not measured: a geometry-optimized SrRe2Rh structure at the PBE level of DFT.

DFT formation energy: 80.44 kJ per mole of atoms
Theoretical density: 13.17 Mg/m³
Space-group type: No. 12

Cell lengths 5.766, 5.766, 2.738 Å; angles 98.87, 98.87, 124.26 degrees
Atoms (fractional coordinates):
1 Sr 0.000 0.000 0.000
2 Re 0.000 0.500 0.500
3 Re 0.500 0.000 0.500
4 Rh 0.500 0.500 0.000


Record 6
Computed, not measured: a geometry-optimized SrReRh structure at the PBE level of DFT.

DFT formation energy: 79.12 kJ per mole of atoms
Theoretical density: 10.76 Mg/m³
Space-group type: No. 187

Cell lengths 4.840, 4.840, 2.865 Å; angles 90.00, 90.00, 120.00 degrees
Atoms (fractional coordinates):
1 Sr 0.000 0.000 0.000
2 Re 0.667 0.333 0.500
3 Rh 0.333 0.667 0.500


Record 7
Computed, not measured: a geometry-optimized SrRe2Rh structure at the PBE level of DFT.

DFT formation energy: 50.27 kJ per mole of atoms
Theoretical density: 11.18 Mg/m³
Space-group type: No. 8

Cell lengths 4.692, 4.692, 6.322 Å; angles 100.54, 100.54, 37.75 degrees
Atoms (fractional coordinates):
1 Sr 0.000 0.000 0.000
2 Re 0.216 0.216 0.617
3 Re 0.492 0.492 0.514
4 Rh 0.768 0.768 0.301


Record 8
Computed, not measured: a geometry-optimized SrReRh structure at the PBE level of DFT.

DFT formation energy: 82.88 kJ per mole of atoms
Theoretical density: 10.90 Mg/m³
Space-group type: No. 156

Cell lengths 2.992, 2.992, 7.398 Å; angles 90.00, 90.00, 120.00 degrees
Atoms (fractional coordinates):
1 Sr 0.000 0.000 0.000
2 Re 0.333 0.667 0.372
3 Rh 0.667 0.333 0.638


Record 9
Computed, not measured: a geometry-optimized SrReRh structure at the PBE level of DFT.

DFT formation energy: 16.30 kJ per mole of atoms
Theoretical density: 8.58 Mg/m³
Space-group type: No. 6

Cell lengths 4.516, 4.294, 7.534 Å; angles 90.00, 93.03, 90.00 degrees
Atoms (fractional coordinates):
1 Sr 0.000 0.000 0.000
2 Sr 0.486 0.500 0.679
3 Re 0.437 0.000 0.349
4 Re 0.560 0.500 0.197
5 Rh 0.047 0.500 0.332
6 Rh 0.925 0.000 0.514


Record 10
Computed, not measured: a geometry-optimized SrRe2Rh structure at the PBE level of DFT.

DFT formation energy: 78.20 kJ per mole of atoms
Theoretical density: 13.31 Mg/m³
Space-group type: No. 216

Cell lengths 4.632, 4.632, 4.632 Å; angles 60.00, 60.00, 60.00 degrees
Atoms (fractional coordinates):
1 Sr 0.000 0.000 0.000
2 Re 0.250 0.250 0.250
3 Re 0.500 0.500 0.500
4 Rh 0.750 0.750 0.750


Record 11
Computed, not measured: a geometry-optimized SrRe2Rh structure at the PBE level of DFT.

DFT formation energy: 95.71 kJ per mole of atoms
Theoretical density: 9.10 Mg/m³
Space-group type: No. 122

Cell lengths 9.500, 9.500, 9.500 Å; angles 150.64, 150.64, 42.00 degrees
Atoms (fractional coordinates):
1 Sr 0.000 0.000 0.000
2 Sr 0.750 0.250 0.500
3 Re 0.361 0.625 0.236
4 Re 0.375 0.611 0.736
5 Re 0.389 0.125 0.764
6 Re 0.875 0.639 0.264
7 Rh 0.250 0.750 0.500
8 Rh 0.500 0.500 0.000


Record 12
Computed, not measured: a geometry-optimized SrRe2Rh structure at the PBE level of DFT.

DFT formation energy: 78.29 kJ per mole of atoms
Theoretical density: 13.35 Mg/m³
Space-group type: No. 166

Cell lengths 10.253, 10.253, 10.253 Å; angles 15.84, 15.84, 15.84 degrees
Atoms (fractional coordinates):
1 Sr 0.000 0.000 0.000
2 Re 0.238 0.238 0.238
3 Re 0.762 0.762 0.762
4 Rh 0.500 0.500 0.500


Listing ΔE to the lowest computed polymorph for the structures above in their given order: 0.029; 0.008; 0.980; 0.294; 0.388; 0.721; 0.075; 0.760; 0.070; 0.365; 0.546; 0.366 eV/atom.